Here is CsCoI2O8 after structural relaxation from the Alexandria database. Energies are from GGA+U.

Cell: 5.6424 6.5288 8.1406 Å, 66.52 69.72 64.40°
Closest atoms and distances in Å follow each position.
Element x y z (fractional)
O (0.8664, 0.9696, 0.8180)  1 I 1.88, 1 Co 1.99
O (0.1336, 0.0304, 0.1820)  1 I 1.88, 1 Co 1.99
Co (0.0000, 0.0000, 0.0000)  4 O 1.99
O (0.8518, 0.6297, 0.6667)  1 I 1.81
I (0.3072, 0.2376, 0.1480)  4 O 1.81-1.88
O (0.6937, 0.5379, 0.0746)  1 I 1.82
O (0.1482, 0.3703, 0.3333)  1 I 1.81
Cs (0.5000, 0.5000, 0.5000)  6 O 3.19-3.28
O (0.3460, 0.9696, 0.8180)  1 I 1.88, 1 Co 1.99
O (0.6540, 0.0304, 0.1820)  1 I 1.88, 1 Co 1.99
I (0.6928, 0.7624, 0.8520)  4 O 1.81-1.88
O (0.3063, 0.4621, 0.9254)  1 I 1.82

Calculated values
The calculation puts the density of states at the Fermi level at 0.312 states/eV per atom. The value obtained for the calculated total energy is -4.515 eV per atom. Its space-group type is C2/m.